# SrPrTl PBE-GGA optimized geometry
data_SrPrTl
_chemical_formula_sum 'Sr2 Pr2 Tl2'
_cell_length_a 5.0984
_cell_length_b 5.0984
_cell_length_c 8.6313
_cell_angle_alpha 90.00
_cell_angle_beta 90.00
_cell_angle_gamma 90.00
_space_group_name_H-M_alt 'P 1'
_space_group_IT_number 1
loop_
_space_group_symop_operation_xyz
'x,y,z'
loop_
_atom_site_label
_atom_site_type_symbol
_atom_site_fract_x
_atom_site_fract_y
_atom_site_fract_z
Sr1 Sr 0.2500 0.2500 0.1369
Sr2 Sr 0.7500 0.7500 0.8631
Pr1 Pr 0.2500 0.7500 0.5000
Pr2 Pr 0.7500 0.2500 0.5000
Tl1 Tl 0.2500 0.2500 0.7445
Tl2 Tl 0.7500 0.7500 0.2555
# theoretical density	6.41	Mg/m³
# uncorrected energy	-3.1996	eV per atom
# energy relative to the elements	-0.771	eV/f.u.
# Fermi-level density of states	3.12	states/eV/f.u.
# symmetry	P4/nmm, No. 129